Here is a geometry-optimized K2UFe2O6 structure from the Alexandria database. Energies are from PBE with a Hubbard U.

Its raw total energy is -77.87 eV per cell.

a = 5.6085 Å, b = 5.6085 Å, c = 6.7091 Å
α = 100.14°, β = 100.14°, γ = 118.88°
Element x y z (fractional)
K (0.1768, 0.8232, 0.0000)
K (0.8232, 0.1768, 0.0000)
U (0.0000, 0.0000, 0.5000)
Fe (0.3351, 0.6649, 0.5000)
Fe (0.6649, 0.3351, 0.5000)
O (0.0531, 0.3785, 0.6781)
O (0.2564, 0.2564, 0.3317)
O (0.3785, 0.0531, 0.6781)
O (0.6215, 0.9469, 0.3219)
O (0.7436, 0.7436, 0.6683)
O (0.9469, 0.6215, 0.3219)